1.
A plane-wave DFT calculation with PBE was carried out for La6NdDy2Sc after structural relaxation.

```
data_La6NdDy2Sc
_symmetry_space_group_name_H-M 'C 1 2/m 1'
_symmetry_Int_Tables_number 12
_cell_length_a 11.619
_cell_length_b 7.024
_cell_length_c 8.890
_cell_angle_alpha 90.00
_cell_angle_beta 104.18
_cell_angle_gamma 90.00
loop_
_symmetry_equiv_pos_as_xyz
'x,y,z'
'-x,-y,-z'
'-x,y,-z'
'x,-y,z'
'x+1/2,y+1/2,z'
'-x+1/2,-y+1/2,-z'
'-x+1/2,y+1/2,-z'
'x+1/2,-y+1/2,z'
loop_
_atom_site_label
_atom_site_fract_x
_atom_site_fract_y
_atom_site_fract_z
_atom_site_occupancy
La1 0.135 0.000 0.404 1
La2 0.161 0.257 0.803 1
Nd1 0.000 0.500 0.500 1
Dy1 0.096 0.500 0.162 1
Sc1 0.000 0.000 0.000 1
```

=====

2.
A plane-wave DFT calculation with PBE was carried out for Cd5HgPb2 after structural relaxation.

```
data_Cd5HgPb2
_symmetry_space_group_name_H-M 'I 4/m m m'
_symmetry_Int_Tables_number 139
_symmetry_space_group_name_Hall '-I 4 2'
_cell_length_a 4.710
_cell_length_b 4.710
_cell_length_c 18.264
_cell_angle_alpha 90.00
_cell_angle_beta 90.00
_cell_angle_gamma 90.00
loop_
_atom_site_label
_atom_site_fract_x
_atom_site_fract_y
_atom_site_fract_z
_atom_site_occupancy
Cd1 0.000 0.000 0.000 1
Cd2 0.000 0.500 0.115 1
Hg1 0.000 0.000 0.500 1
Pb1 0.000 0.000 0.249 1
```

=====

Number 1: calculated formation energy 0.2121 eV per atom. Number 2: calculated formation energy 0.0431 eV per atom.